[1]
Nd2HfCd (PBE, optimized geometry); formation enthalpy at 0 K = 48 meV/atom; uncorrected energy = -5.0532 eV/atom; calculated volume = 27.954 A^3/atom; density = 8.6 g/cm³; crystal system = tetragonal; Fermi-level density of states = 5.4 states/eV/cell
1.0
5.6548 0.0000 0.0000
0.0000 5.6548 0.0000
0.0000 0.0000 3.4968
Nd Hf Cd
2 1 1
Direct
0.0000 0.5000 0.0000
0.5000 0.0000 0.0000
0.0000 0.0000 0.5000
0.5000 0.5000 0.5000

=====

[2]
Re3Os (PBE, optimized geometry); formation enthalpy at 0 K = 481 meV/atom; uncorrected energy = -11.6622 eV/atom; calculated volume = 15.050 A^3/atom; density = 20.7 g/cm³; crystal system = cubic; Fermi-level density of states = 5.9 states/eV/cell
1.0
0.0000 3.1107 3.1107
3.1107 0.0000 3.1107
3.1107 3.1107 0.0000
Re Os
3 1
Direct
0.0000 0.0000 0.0000
0.2500 0.2500 0.2500
0.7500 0.7500 0.7500
0.5000 0.5000 0.5000

=====

[3]
Tl2RuAu (PBE, optimized geometry); formation enthalpy at 0 K = 440 meV/atom; uncorrected energy = -3.8817 eV/atom; calculated volume = 22.011 A^3/atom; density = 13.3 g/cm³; crystal system = tetragonal; Fermi-level density of states = 4.4 states/eV/cell
1.0
3.2657 0.0000 0.0000
0.0000 3.2657 0.0000
0.0000 0.0000 8.2556
Tl Ru Au
2 1 1
Direct
0.0000 0.0000 0.0000
0.5000 0.5000 0.3369
0.5000 0.5000 0.7850
0.0000 0.0000 0.5972

=====

[4]
K2PdC4S4N4 (PBE, optimized geometry); ΔE_f (raw) = -0.14 eV per atom; uncorrected energy = -6.4104 eV/atom; calculated volume = 22.018 A^3/atom; density = 2.1 g/cm³; crystal system = monoclinic
1.0
4.4339 0.0000 0.0000
0.0000 13.4893 0.0000
-1.4667 0.0000 11.0441
K Pd C S N
4 2 8 8 8
Direct
0.2072 0.1400 0.0339
0.2072 0.3600 0.5339
0.7928 0.6400 0.4661
0.7928 0.8600 0.9661
0.5000 0.0000 0.5000
0.5000 0.5000 0.0000
0.2843 0.6537 0.2023
0.2843 0.8463 0.7022
0.4636 0.5733 0.7220
0.4636 0.9267 0.2220
0.5364 0.0733 0.7780
0.5364 0.4267 0.2780
0.7157 0.1537 0.2978
0.7157 0.3463 0.7978
0.2924 0.0886 0.6538
0.2924 0.4114 0.1538
0.3677 0.6591 0.0616
0.3677 0.8409 0.5616
0.6323 0.1591 0.4384
0.6323 0.3409 0.9384
0.7076 0.5886 0.8462
0.7076 0.9114 0.3462
0.2253 0.6552 0.3025
0.2253 0.8448 0.8025
0.3068 0.5656 0.6279
0.3068 0.9344 0.1279
0.6932 0.0656 0.8721
0.6932 0.4344 0.3721
0.7747 0.1552 0.1975
0.7747 0.3448 0.6975

=====

[5]
ScIr2 (PBE, optimized geometry); formation enthalpy at 0 K = -520 meV/atom; uncorrected energy = -8.5377 eV/atom; calculated volume = 16.066 A^3/atom; density = 14.8 g/cm³; crystal system = monoclinic; Fermi-level density of states = 6.2 states/eV/cell
1.0
5.0833 -1.4339 0.0000
5.0833 1.4339 0.0000
-1.9475 0.0000 6.6127
Sc Ir
2 4
Direct
0.1729 0.1729 0.1495
0.8271 0.8271 0.8505
0.1404 0.1404 0.5300
0.4524 0.4524 0.1949
0.5476 0.5476 0.8051
0.8596 0.8596 0.4700

=====

[6]
LiTl2IF6 (PBE, optimized geometry); ΔE_f (raw) = -1.85 eV per atom; uncorrected energy = -3.7936 eV/atom; calculated volume = 18.973 A^3/atom; density = 5.7 g/cm³; crystal system = triclinic; Fermi-level density of states = 0.0 states/eV/cell
1.0
5.5210 0.0000 0.0000
0.1090 5.9807 0.0000
2.5459 2.0847 5.7461
Li Tl I F
1 2 1 6
Direct
0.0000 0.0000 0.0000
0.2677 0.7742 0.4901
0.7323 0.2258 0.5099
0.5000 0.5000 0.0000
0.1591 0.6552 0.0954
0.2449 0.0792 0.6771
0.2806 0.1804 0.1011
0.7194 0.8196 0.8989
0.7551 0.9208 0.3229
0.8409 0.3448 0.9046